Record 1
{"formula": "TbEr7Sc12", "functional": "PBE", "state": "optimized geometry", "energy_ev_per_atom": -5.405, "dos_ef_per_ev_atom": 2.177, "crystal_system": "trigonal", "delta_e_f_ev_per_atom": 0.222, "magnetic_moment_mub_per_cell": 0.00, "space_group": "No. 148", "lattice_angstrom": [[5.727, 3.306, 4.927], [-5.727, 3.306, 4.927], [0.000, -6.613, 4.927]], "species": ["Tb", "Er", "Er", "Er", "Er", "Er", "Er", "Er", "Sc", "Sc", "Sc", "Sc", "Sc", "Sc", "Sc", "Sc", "Sc", "Sc", "Sc", "Sc"], "fractional_positions": [[0.000, 0.000, 0.000], [0.054, 0.391, 0.160], [0.160, 0.054, 0.391], [0.391, 0.160, 0.054], [0.500, 0.500, 0.500], [0.609, 0.840, 0.946], [0.840, 0.946, 0.609], [0.946, 0.609, 0.840], [0.134, 0.624, 0.494], [0.148, 0.273, 0.721], [0.273, 0.721, 0.148], [0.279, 0.852, 0.727], [0.376, 0.506, 0.866], [0.494, 0.134, 0.624], [0.506, 0.866, 0.376], [0.624, 0.494, 0.134], [0.721, 0.148, 0.273], [0.727, 0.279, 0.852], [0.852, 0.727, 0.279], [0.866, 0.376, 0.506]]}

---

Record 2
{"formula": "Tb3ErSc6", "functional": "PBE", "state": "optimized geometry", "energy_ev_per_atom": -5.485, "dos_ef_per_ev_atom": 1.600, "crystal_system": "orthorhombic", "delta_e_f_ev_per_atom": 0.159, "magnetic_moment_mub_per_cell": 0.29, "space_group": "No. 36", "lattice_angstrom": [[5.246, -8.993, 0.000], [5.246, 8.993, 0.000], [0.000, 0.000, 5.850]], "species": ["Tb", "Tb", "Tb", "Tb", "Tb", "Tb", "Er", "Er", "Sc", "Sc", "Sc", "Sc", "Sc", "Sc", "Sc", "Sc", "Sc", "Sc", "Sc", "Sc"], "fractional_positions": [[0.103, 0.897, 0.500], [0.220, 0.430, 0.908], [0.430, 0.220, 0.408], [0.570, 0.780, 0.908], [0.780, 0.570, 0.408], [0.897, 0.103, 0.000], [0.288, 0.712, 0.601], [0.712, 0.288, 0.101], [0.043, 0.473, 0.302], [0.114, 0.220, 0.458], [0.211, 0.789, 0.075], [0.220, 0.114, 0.958], [0.451, 0.549, 0.376], [0.473, 0.043, 0.802], [0.527, 0.957, 0.302], [0.549, 0.451, 0.876], [0.780, 0.886, 0.458], [0.789, 0.211, 0.575], [0.886, 0.780, 0.958], [0.957, 0.527, 0.802]]}

---

Record 3
{"formula": "Tb4ErSc2", "functional": "PBE", "state": "optimized geometry", "energy_ev_per_atom": -4.910, "dos_ef_per_ev_atom": 1.255, "relative_energy_mev_per_atom": 49, "crystal_system": "monoclinic", "delta_e_f_ev_per_atom": 0.196, "magnetic_moment_mub_per_cell": 0.00, "space_group": "No. 12", "lattice_angstrom": [[3.397, -4.937, 0.000], [3.397, 4.937, 0.000], [-2.039, 0.000, 6.405]], "species": ["Tb", "Tb", "Tb", "Tb", "Er", "Sc", "Sc"], "fractional_positions": [[0.019, 0.592, 0.771], [0.408, 0.981, 0.229], [0.592, 0.019, 0.771], [0.981, 0.408, 0.229], [0.000, 0.000, 0.500], [0.500, 0.500, 0.000], [0.500, 0.500, 0.500]]}

---

Record 4
{"formula": "TbEr3Sc2", "functional": "PBE", "state": "optimized geometry", "energy_ev_per_atom": -5.016, "dos_ef_per_ev_atom": 1.798, "relative_energy_mev_per_atom": 0, "crystal_system": "monoclinic", "delta_e_f_ev_per_atom": 0.147, "magnetic_moment_mub_per_cell": 0.00, "space_group": "No. 12", "lattice_angstrom": [[11.215, -1.686, 0.000], [11.215, 1.686, 0.000], [-3.022, 0.000, 9.341]], "species": ["Tb", "Tb", "Er", "Er", "Er", "Er", "Er", "Er", "Sc", "Sc", "Sc", "Sc"], "fractional_positions": [[0.185, 0.185, 0.044], [0.815, 0.815, 0.956], [0.059, 0.059, 0.434], [0.197, 0.197, 0.708], [0.431, 0.431, 0.229], [0.569, 0.569, 0.771], [0.803, 0.803, 0.292], [0.941, 0.941, 0.566], [0.192, 0.192, 0.373], [0.429, 0.429, 0.861], [0.571, 0.571, 0.139], [0.808, 0.808, 0.627]]}

---

Record 5
{"formula": "TbEr2Sc4", "functional": "PBE", "state": "optimized geometry", "energy_ev_per_atom": -5.518, "dos_ef_per_ev_atom": 1.272, "relative_energy_mev_per_atom": 0, "crystal_system": "triclinic", "delta_e_f_ev_per_atom": 0.065, "magnetic_moment_mub_per_cell": 0.00, "space_group": "No. 1", "lattice_angstrom": [[6.484, 0.000, 0.000], [-1.720, 8.203, 0.000], [-1.915, -4.153, 7.141]], "species": ["Tb", "Tb", "Er", "Er", "Er", "Er", "Sc", "Sc", "Sc", "Sc", "Sc", "Sc", "Sc", "Sc"], "fractional_positions": [[0.000, 0.000, 0.000], [0.247, 0.841, 0.633], [0.244, 0.264, 0.846], [0.502, 0.714, 0.151], [0.742, 0.491, 0.377], [0.777, 0.333, 0.939], [0.034, 0.788, 0.230], [0.052, 0.583, 0.800], [0.227, 0.456, 0.294], [0.472, 0.167, 0.473], [0.526, 0.042, 0.073], [0.545, 0.608, 0.745], [0.735, 0.919, 0.587], [0.962, 0.192, 0.433]]}

---

Record 6
{"formula": "Tb4Er19Sc6", "functional": "PBE", "state": "optimized geometry", "energy_ev_per_atom": -4.540, "dos_ef_per_ev_atom": 1.332, "crystal_system": "cubic", "delta_e_f_ev_per_atom": 0.398, "magnetic_moment_mub_per_cell": 2.91, "space_group": "No. 197", "lattice_angstrom": [[-6.091, 6.091, 6.091], [6.091, -6.091, 6.091], [6.091, 6.091, -6.091]], "species": ["Tb", "Tb", "Tb", "Tb", "Er", "Er", "Er", "Er", "Er", "Er", "Er", "Er", "Er", "Er", "Er", "Er", "Er", "Er", "Er", "Er", "Er", "Er", "Er", "Sc", "Sc", "Sc", "Sc", "Sc", "Sc"], "fractional_positions": [[0.000, 0.000, 0.642], [0.000, 0.642, 0.000], [0.358, 0.358, 0.358], [0.642, 0.000, 0.000], [0.000, 0.000, 0.000], [0.000, 0.266, 0.266], [0.000, 0.734, 0.734], [0.007, 0.786, 0.339], [0.214, 0.221, 0.553], [0.221, 0.553, 0.214], [0.266, 0.000, 0.266], [0.266, 0.266, 0.000], [0.332, 0.779, 0.993], [0.339, 0.007, 0.786], [0.447, 0.668, 0.661], [0.553, 0.214, 0.221], [0.661, 0.447, 0.668], [0.668, 0.661, 0.447], [0.734, 0.000, 0.734], [0.734, 0.734, 0.000], [0.779, 0.993, 0.332], [0.786, 0.339, 0.007], [0.993, 0.332, 0.779], [0.118, 0.618, 0.500], [0.382, 0.500, 0.882], [0.500, 0.118, 0.618], [0.500, 0.882, 0.382], [0.618, 0.500, 0.118], [0.882, 0.382, 0.500]]}

---

Record 7
{"formula": "Tb6Er12Sc", "functional": "PBE", "state": "optimized geometry", "energy_ev_per_atom": -4.456, "dos_ef_per_ev_atom": 1.730, "relative_energy_mev_per_atom": 47, "crystal_system": "trigonal", "delta_e_f_ev_per_atom": 0.222, "magnetic_moment_mub_per_cell": 0.00, "space_group": "No. 166", "lattice_angstrom": [[6.487, 3.745, 4.171], [-6.487, 3.745, 4.171], [0.000, -7.491, 4.171]], "species": ["Tb", "Tb", "Tb", "Tb", "Tb", "Tb", "Er", "Er", "Er", "Er", "Er", "Er", "Er", "Er", "Er", "Er", "Er", "Er", "Sc"], "fractional_positions": [[0.161, 0.594, 0.594], [0.406, 0.406, 0.839], [0.406, 0.839, 0.406], [0.594, 0.161, 0.594], [0.594, 0.594, 0.161], [0.839, 0.406, 0.406], [0.000, 0.257, 0.743], [0.000, 0.743, 0.257], [0.146, 0.146, 0.417], [0.146, 0.417, 0.146], [0.257, 0.000, 0.743], [0.257, 0.743, 0.000], [0.417, 0.146, 0.146], [0.583, 0.854, 0.854], [0.743, 0.000, 0.257], [0.743, 0.257, 0.000], [0.854, 0.583, 0.854], [0.854, 0.854, 0.583], [0.500, 0.500, 0.500]]}

---

Record 8
{"formula": "Tb4Er8Sc", "functional": "PBE", "state": "optimized geometry", "energy_ev_per_atom": -4.491, "dos_ef_per_ev_atom": 1.263, "crystal_system": "monoclinic", "delta_e_f_ev_per_atom": 0.229, "magnetic_moment_mub_per_cell": 0.00, "space_group": "No. 12", "lattice_angstrom": [[5.029, -5.068, 0.000], [5.029, 5.068, 0.000], [-1.509, 0.000, 8.056]], "species": ["Tb", "Tb", "Tb", "Tb", "Er", "Er", "Er", "Er", "Er", "Er", "Er", "Er", "Sc"], "fractional_positions": [[0.000, 0.000, 0.000], [0.000, 0.500, 0.000], [0.500, 0.000, 0.000], [0.500, 0.500, 0.000], [0.182, 0.693, 0.686], [0.184, 0.184, 0.655], [0.276, 0.276, 0.258], [0.307, 0.818, 0.314], [0.693, 0.182, 0.686], [0.724, 0.724, 0.742], [0.816, 0.816, 0.345], [0.818, 0.307, 0.314], [0.500, 0.500, 0.500]]}